# 1
Zr2InBi2 after structural relaxation, computed with GGA-PBEsol.

```
Zr2InBi2
1.0
3.9521 0.0000 0.0000
0.0000 7.8912 0.0000
0.0000 0.0000 7.8912
Bi Zr In
4 4 2
Cartesian
1.9761 1.2097 5.1553
1.9761 5.1553 6.6815
1.9761 6.6815 2.7359
1.9761 2.7359 1.2097
0.0000 2.7944 6.7400
0.0000 6.7400 5.0968
0.0000 5.0968 1.1512
0.0000 1.1512 2.7944
0.0000 0.0000 0.0000
0.0000 3.9456 3.9456
```

Output
Volume   24.61 A^3/atom
Magnetization   0.00 μB per cell
SG   P4/mbm, No. 127

=====

# 2
MnReP2 after structural relaxation, computed with GGA-PBEsol.

```
MnReP2
1.0
-2.5042 0.6166 0.6254
1.3155 -0.6619 2.2076
2.2720 8.1284 1.0833
Mn P Re
1 2 1
Cartesian
-0.0383 1.9669 1.6817
0.1100 0.3936 0.0525
1.0324 5.7974 2.1922
1.1151 3.9893 0.5317
```

Output
Volume   14.14 A^3/atom
Magnetization   2.11 μB per cell
SG   Cmm2, No. 35
Relative energy among the computed polymorphs   137.0 meV per atom

=====

# 3
TiPt3Rh after structural relaxation, computed with GGA-PBEsol.

```
TiPt3Rh
1.0
4.5267 0.0000 0.0000
0.0000 4.5267 0.0000
0.0000 0.0000 4.5267
Rh Pt Ti
1 3 1
Cartesian
2.2634 2.2634 2.2634
0.0000 2.2634 0.0000
0.0000 0.0000 2.2634
2.2634 0.0000 0.0000
0.0000 0.0000 0.0000
```

Output
Volume   18.55 A^3/atom
Magnetization   0.31 μB per cell
SG   Pm-3m, No. 221
Relative energy among the computed polymorphs   0.0 meV per atom

=====

# 4
TiTlBi2 after structural relaxation, computed with GGA-PBEsol.

```
TiTlBi2
1.0
5.2629 0.0000 0.0000
2.6314 4.5578 0.0000
2.6314 1.5193 4.2971
Tl Bi Ti
1 2 1
Cartesian
5.2629 3.0385 2.1486
2.6314 1.5193 1.0743
7.8943 4.5578 3.2228
0.0000 0.0000 0.0000
```

Output
Volume   25.77 A^3/atom
Magnetization   0.72 μB per cell
SG   Fm-3m, No. 225

=====

# 5
LaYOsW2 after structural relaxation, computed with GGA-PBEsol.

```
LaYOsW2
1.0
4.6720 0.0000 0.0000
0.0000 4.6720 0.0000
0.0000 0.0000 5.2031
Y Os W La
1 1 2 1
Cartesian
0.0000 0.0000 0.0000
2.3360 2.3360 2.6016
0.0000 2.3360 0.0000
2.3360 0.0000 0.0000
0.0000 0.0000 2.6016
```

Output
Volume   22.71 A^3/atom
Magnetization   0.00 μB per cell
SG   P4/mmm, No. 123

=====

# 6
NbTlGa3 after structural relaxation, computed with GGA-PBEsol.

```
NbTlGa3
1.0
5.0862 0.0000 0.0000
0.0000 5.0862 0.0000
0.0000 0.0000 5.0862
Tl Nb Ga
1 1 3
Cartesian
0.0000 0.0000 0.0000
2.5431 2.5431 2.5431
0.0000 2.5431 0.0000
0.0000 0.0000 2.5431
2.5431 0.0000 0.0000
```

Output
Volume   26.32 A^3/atom
Magnetization   3.00 μB per cell
SG   Pm-3m, No. 221

=====

no.,calculated formation energy (meV/atom)
1,-300
2,237
3,989
4,254
5,2885
6,1401